No. 1
Hf2VBr, optimized geometry, DFT PBE-GGA; offset from the most stable computed form = 17.2 kJ/mol of atoms; formation energy from raw total energies = 0.699 eV/atom; spin magnetization = 4.6 μB per cell
1.0
-1.780 2.834 -2.400
-0.019 -2.668 -3.137
-10.010 -3.216 0.091
Hf Br V
4 2 2
direct
0.622 0.125 0.250
0.128 0.625 0.250
0.375 0.378 0.750
0.875 0.872 0.750
0.000 0.000 0.000
0.750 0.250 0.500
0.500 0.500 0.000
0.250 0.750 0.500

No. 2
HfV2Br, optimized geometry, DFT PBE-GGA; offset from the most stable computed form = 0.0 kJ/mol of atoms; formation energy from raw total energies = 0.695 eV/atom; spin magnetization = 0.0 μB per cell
1.0
7.503 0.000 0.000
0.000 7.503 0.000
3.751 3.751 2.579
Hf Br V
2 2 4
direct
0.000 0.000 0.000
0.750 0.250 0.500
0.500 0.500 0.000
0.250 0.750 0.500
0.559 0.125 0.250
0.191 0.625 0.250
0.375 0.441 0.750
0.875 0.809 0.750

No. 3
Hf3VBr, optimized geometry, DFT PBE-GGA; offset from the most stable computed form = 3.5 kJ/mol of atoms; formation energy from raw total energies = 0.840 eV/atom; spin magnetization = 2.6 μB per cell
1.0
4.887 0.000 0.000
0.000 4.887 0.000
0.000 0.000 4.887
Hf Br V
3 1 1
direct
0.000 0.500 0.000
0.000 0.000 0.500
0.500 0.000 0.000
0.000 0.000 0.000
0.500 0.500 0.500

No. 4
Hf3VBr, optimized geometry, DFT PBE-GGA; offset from the most stable computed form = 0.0 kJ/mol of atoms; formation energy from raw total energies = 0.803 eV/atom; spin magnetization = 0.0 μB per cell
1.0
4.952 0.000 0.000
0.000 4.952 0.000
0.000 0.000 4.952
Hf Br V
3 1 1
direct
0.000 0.500 0.000
0.000 0.000 0.500
0.500 0.000 0.000
0.500 0.500 0.500
0.000 0.000 0.000